LiCdW2: optimized geometry, GGA-PBE.

Unit cell a=3.2011 b=4.2361 c=9.6505 alpha=90.00 beta=90.00 gamma=90.00
Closest atoms and distances in Å follow each position.
Space group Immm (No. 71)
Symmetry-distinct sites (fractional):
Li 0.0000 0.0000 0.0000 x2  4 Cd 2.65, 4 W 2.87
Cd 0.0000 0.0000 0.5000 x2  4 Li 2.65, 4 W 2.92
W 0.0000 0.5000 0.2529 x4  4 W 2.66, 2 Li 2.87, 2 Cd 2.92

Values from the calculation:
Calculated formation energy ... 0.472 eV per atom
Density of states at the Fermi level ... 4.67 states/eV/cell
Volume ... 16.36 Å³/atom

=====

Li2CdW: optimized geometry, GGA-PBE.

Unit cell a=5.7381 b=9.1052 c=2.5917 alpha=90.00 beta=90.00 gamma=90.00
Closest atoms and distances in Å follow each position.
Space group Cmmm (No. 65)
Symmetry-distinct sites (fractional):
Li 0.2500 0.2500 0.0000 x4  4 Li 2.59-2.87
Cd 0.0000 0.0000 0.5000 x2  2 Cd 2.59, 2 W 2.87
W 0.0000 0.5000 0.5000 x2  2 W 2.59, 2 Cd 2.87

Values from the calculation:
Calculated formation energy ... 0.486 eV per atom
Density of states at the Fermi level ... 5.80 states/eV/cell
Volume ... 16.93 Å³/atom

=====

Li4CdW: optimized geometry, GGA-PBE.

Unit cell a=7.2046 b=7.2046 c=7.2046 alpha=90.00 beta=90.00 gamma=90.00
Closest atoms and distances in Å follow each position.
Space group F-43m (No. 216)
Symmetry-distinct sites (fractional):
Li 0.1237 0.1237 0.1237 x16  6 Li 2.52-2.57
Cd 0.0000 0.0000 0.5000 x4  12 Li 2.99, 4 W 3.12
W 0.2500 0.2500 0.7500 x4  12 Li 2.98, 4 Cd 3.12

Values from the calculation:
Calculated formation energy ... 0.523 eV per atom
Density of states at the Fermi level ... 8.62 states/eV/cell
Volume ... 15.58 Å³/atom

=====

LiCd2W: optimized geometry, GGA-PBE.

Unit cell a=2.7292 b=4.7125 c=5.7731 alpha=90.00 beta=90.00 gamma=90.00
Closest atoms and distances in Å follow each position.
Space group Pmm2 (No. 25)
Symmetry-distinct sites (fractional):
Li 0.0000 0.0000 0.0000 x1  1 Cd 2.65, 2 Li 2.73
Cd 0.0000 0.0000 0.4593 x1  1 Li 2.65, 2 Cd 2.73, 4 W 2.95
Cd 0.5000 0.5000 0.7726 x1  2 Cd 2.73, 2 W 2.83-2.95, 4 Li 3.02
W 0.5000 0.5000 0.2623 x1  2 W 2.73, 6 Cd 2.83-2.95

Values from the calculation:
Calculated formation energy ... 0.502 eV per atom
Density of states at the Fermi level ... 3.02 states/eV/cell
Volume ... 18.56 Å³/atom

=====

LiCdW2: optimized geometry, GGA-PBE.

Unit cell a=5.2748 b=9.9855 c=2.7555 alpha=90.00 beta=112.75 gamma=90.00
Closest atoms and distances in Å follow each position.
Space group C2/m (No. 12)
Symmetry-distinct sites (fractional):
Li 0.0000 0.0000 0.0000 x2  2 Cd 2.64, 2 Li 2.76, 4 W 2.91
Cd 0.0000 0.5000 0.0000 x2  2 Li 2.64, 2 Cd 2.76, 4 W 2.91
W 0.2500 0.2500 0.5000 x4  4 W 2.64-2.76, 2 Cd 2.91, 2 Li 2.91

Values from the calculation:
Calculated formation energy ... 0.510 eV per atom
Density of states at the Fermi level ... 3.88 states/eV/cell
Volume ... 16.73 Å³/atom

=====

Li2CdW: optimized geometry, GGA-PBE.

Unit cell a=2.6919 b=2.6919 c=9.3075 alpha=90.00 beta=90.00 gamma=90.00
Closest atoms and distances in Å follow each position.
Space group P4/mmm (No. 123)
Symmetry-distinct sites (fractional):
Li 0.0000 0.0000 0.2410 x2  4 Li 2.69, 4 W 2.94
Cd 0.5000 0.5000 0.5000 x1  4 Cd 2.69
W 0.5000 0.5000 0.0000 x1  4 W 2.69, 8 Li 2.94

Values from the calculation:
Calculated formation energy ... 0.302 eV per atom
Density of states at the Fermi level ... 3.89 states/eV/cell
Volume ... 16.86 Å³/atom

=====

Li2CdW: optimized geometry, GGA-PBE.

Unit cell a=2.6620 b=4.8878 c=9.8845 alpha=90.00 beta=90.00 gamma=90.00
Closest atoms and distances in Å follow each position.
Space group Imm2 (No. 44)
Symmetry-distinct sites (fractional):
Li 0.0000 0.0000 0.0000 x2  4 Li 2.64-2.66, 2 Cd 2.67, 4 W 2.78
Li 0.0000 0.5000 0.2688 x2  4 Li 2.64-2.66, 4 Cd 2.80, 2 W 2.96
Cd 0.0000 0.5000 0.7337 x2  2 Cd 2.66, 6 Li 2.67-2.80, 2 W 2.96
W 0.0000 0.0000 0.5017 x2  2 W 2.66, 6 Li 2.78-2.96, 2 Cd 2.96

Values from the calculation:
Calculated formation energy ... 0.513 eV per atom
Density of states at the Fermi level ... 5.13 states/eV/cell
Volume ... 16.08 Å³/atom

=====

LiCdW2: optimized geometry, GGA-PBE.

Unit cell a=2.6639 b=4.2940 c=5.9460 alpha=90.00 beta=90.00 gamma=90.00
Closest atoms and distances in Å follow each position.
Space group Pmm2 (No. 25)
Symmetry-distinct sites (fractional):
Li 0.0000 0.0000 0.0000 x1  2 Li 2.66, 4 Cd 2.84, 1 W 2.86
Cd 0.5000 0.5000 0.7829 x1  2 Cd 2.66, 4 Li 2.84, 1 W 2.94
W 0.0000 0.0000 0.4811 x1  6 W 2.66-2.80, 1 Li 2.86
W 0.5000 0.5000 0.2780 x1  6 W 2.66-2.80, 1 Cd 2.94

Values from the calculation:
Calculated formation energy ... 0.447 eV per atom
Density of states at the Fermi level ... 2.37 states/eV/cell
Volume ... 17.00 Å³/atom

=====

LiCd2W: optimized geometry, GGA-PBE.

Unit cell a=2.8074 b=2.8074 c=9.0599 alpha=90.00 beta=90.00 gamma=90.00
Closest atoms and distances in Å follow each position.
Space group P4/mmm (No. 123)
Symmetry-distinct sites (fractional):
Li 0.0000 0.0000 0.0000 x1  4 Li 2.81, 8 Cd 2.98
Cd 0.5000 0.5000 0.2446 x2  4 Cd 2.81, 4 Li 2.98, 4 W 3.05
W 0.0000 0.0000 0.5000 x1  4 W 2.81, 8 Cd 3.05

Values from the calculation:
Calculated formation energy ... 0.253 eV per atom
Density of states at the Fermi level ... 1.84 states/eV/cell
Volume ... 17.85 Å³/atom

=====

LiCdW2: optimized geometry, GGA-PBE.

Unit cell a=3.1713 b=4.2595 c=4.8610 alpha=90.00 beta=90.00 gamma=90.00
Closest atoms and distances in Å follow each position.
Space group Pmmm (No. 47)
Symmetry-distinct sites (fractional):
Li 0.0000 0.0000 0.0000 x1  4 Cd 2.66, 4 W 2.90
Cd 0.5000 0.5000 0.0000 x1  4 Li 2.66, 4 W 2.90
W 0.0000 0.5000 0.5000 x1  4 W 2.66, 4 Cd 2.90
W 0.5000 0.0000 0.5000 x1  4 W 2.66, 4 Li 2.90

Values from the calculation:
Calculated formation energy ... 0.462 eV per atom
Density of states at the Fermi level ... 2.56 states/eV/cell
Volume ... 16.42 Å³/atom

=====

LiCd2W: optimized geometry, GGA-PBE.

Unit cell a=3.2198 b=4.5602 c=9.9219 alpha=90.00 beta=90.00 gamma=90.00
Closest atoms and distances in Å follow each position.
Space group Cmm2 (No. 35)
Symmetry-distinct sites (fractional):
Li 0.0000 0.0000 0.0000 x2  4 Li 2.79, 2 W 2.80, 2 Cd 2.88
Cd 0.0000 0.0000 0.4795 x2  4 Cd 2.79, 2 W 2.95
Cd 0.0000 0.5000 0.7598 x2  4 Cd 2.79, 2 Li 2.88
W 0.0000 0.5000 0.2306 x2  4 W 2.79, 2 Li 2.80, 2 Cd 2.95

Values from the calculation:
Calculated formation energy ... 0.337 eV per atom
Density of states at the Fermi level ... 5.79 states/eV/cell
Volume ... 18.21 Å³/atom

=====

Li2CdW: optimized geometry, GGA-PBE.

Unit cell a=9.7919 b=2.6498 c=5.3018 alpha=90.00 beta=97.00 gamma=90.00
Closest atoms and distances in Å follow each position.
Space group C2/m (No. 12)
Symmetry-distinct sites (fractional):
Li 0.2498 0.0000 0.2253 x4  4 Li 2.65-2.73, 3 W 2.85-2.91
Cd 0.0000 0.0000 0.5000 x2  2 Cd 2.65, 4 W 2.96
W 0.0000 0.5000 0.0000 x2  2 W 2.65, 6 Li 2.85-2.91, 4 Cd 2.96

Values from the calculation:
Calculated formation energy ... 0.444 eV per atom
Density of states at the Fermi level ... 5.26 states/eV/cell
Volume ... 17.07 Å³/atom

=====

Li2CdW: optimized geometry, GGA-PBE.

Unit cell a=2.7991 b=2.7991 c=8.4560 alpha=90.00 beta=90.00 gamma=90.00
Closest atoms and distances in Å follow each position.
Space group P4mm (No. 99)
Symmetry-distinct sites (fractional):
Li 0.0000 0.0000 0.0000 x1  8 Li 2.80-2.86, 4 Cd 2.88
Li 0.5000 0.5000 0.2446 x1  8 Li 2.80-2.86, 4 W 2.81
Cd 0.5000 0.5000 0.7529 x1  4 Cd 2.80, 4 Li 2.88, 4 W 3.03
W 0.0000 0.0000 0.4809 x1  4 W 2.80, 4 Li 2.81, 4 Cd 3.03

Values from the calculation:
Calculated formation energy ... 0.332 eV per atom
Density of states at the Fermi level ... 2.51 states/eV/cell
Volume ... 16.56 Å³/atom

=====

Li2CdW: optimized geometry, GGA-PBE.

Unit cell a=2.7997 b=2.7997 c=30.1133 alpha=90.00 beta=90.00 gamma=120.00
Closest atoms and distances in Å follow each position.
Space group R-3m (No. 166, hexagonal axes)
Symmetry-distinct sites (fractional):
Li 0.0000 0.0000 0.2472 x6  6 Li 2.80, 3 W 2.91, 3 Cd 3.06
Cd 0.0000 0.0000 0.0000 x3  6 Cd 2.80, 6 Li 3.06
W 0.0000 0.0000 0.5000 x3  6 W 2.80, 6 Li 2.91

Values from the calculation:
Calculated formation energy ... 0.242 eV per atom
Density of states at the Fermi level ... 10.25 states/eV/cell
Volume ... 17.03 Å³/atom

=====

LiCd2W: optimized geometry, GGA-PBE.

Unit cell a=2.7697 b=4.3969 c=5.9935 alpha=90.00 beta=99.31 gamma=90.00
Closest atoms and distances in Å follow each position.
Space group P2/m (No. 10)
Symmetry-distinct sites (fractional):
Li 0.0000 0.0000 0.0000 x1  2 Li 2.77, 4 Cd 2.81, 2 W 3.00
Cd 0.4347 0.5000 0.2481 x2  4 Cd 2.77-3.05, 2 Li 2.81, 4 W 2.97-3.03
W 0.0000 0.0000 0.5000 x1  2 W 2.77, 8 Cd 2.97-3.03, 2 Li 3.00

Values from the calculation:
Calculated formation energy ... 0.426 eV per atom
Density of states at the Fermi level ... 2.20 states/eV/cell
Volume ... 18.01 Å³/atom

=====

LiCdW2: optimized geometry, GGA-PBE.

Unit cell a=3.2775 b=3.2775 c=6.3742 alpha=90.00 beta=90.00 gamma=90.00
Closest atoms and distances in Å follow each position.
Space group P4mm (No. 99)
Symmetry-distinct sites (fractional):
Li 0.0000 0.0000 0.0000 x1  4 Cd 2.73, 5 W 2.88-2.90
Cd 0.5000 0.5000 0.7742 x1  4 Li 2.73
W 0.0000 0.0000 0.4545 x1  4 W 2.60, 1 Li 2.90
W 0.5000 0.5000 0.2689 x1  4 W 2.60, 4 Li 2.88

Values from the calculation:
Calculated formation energy ... 0.406 eV per atom
Density of states at the Fermi level ... 3.50 states/eV/cell
Volume ... 17.12 Å³/atom

=====

LiCdW2: optimized geometry, GGA-PBE.

Unit cell a=9.2701 b=2.6554 c=5.4852 alpha=90.00 beta=93.03 gamma=90.00
Closest atoms and distances in Å follow each position.
Space group Cm (No. 8)
Symmetry-distinct sites (fractional):
Li 0.0000 0.0000 0.0000 x2  3 Cd 2.65-2.89, 2 Li 2.66, 3 W 2.79-2.92
Cd 0.2488 0.0000 0.7819 x2  3 Li 2.65-2.89, 2 Cd 2.66
W 0.0066 0.5000 0.4745 x2  5 W 2.60-2.86
W 0.2545 0.5000 0.2736 x2  5 W 2.60-2.86, 1 Li 2.79

Values from the calculation:
Calculated formation energy ... 0.512 eV per atom
Density of states at the Fermi level ... 6.64 states/eV/cell
Volume ... 16.85 Å³/atom

=====

LiCdW3: optimized geometry, GGA-PBE.

Unit cell a=4.3073 b=4.3073 c=4.3073 alpha=90.00 beta=90.00 gamma=90.00
Closest atoms and distances in Å follow each position.
Space group Pm-3m (No. 221)
Symmetry-distinct sites (fractional):
Li 0.0000 0.0000 0.0000 x1  6 W 2.15
Cd 0.5000 0.5000 0.5000 x1  12 W 3.05
W 0.0000 0.0000 0.5000 x3  2 Li 2.15

Values from the calculation:
Calculated formation energy ... 1.513 eV per atom
Density of states at the Fermi level ... 4.77 states/eV/cell
Volume ... 15.98 Å³/atom

=====

LiCd2W: optimized geometry, GGA-PBE.

Unit cell a=6.6643 b=6.6643 c=6.6643 alpha=90.00 beta=90.00 gamma=90.00
Closest atoms and distances in Å follow each position.
Space group Fm-3m (No. 225)
Symmetry-distinct sites (fractional):
Li 0.0000 0.0000 0.0000 x4  8 Cd 2.89
Cd 0.2500 0.2500 0.2500 x8  4 W 2.89, 4 Li 2.89
W 0.0000 0.0000 0.5000 x4  8 Cd 2.89

Values from the calculation:
Calculated formation energy ... 0.636 eV per atom
Density of states at the Fermi level ... 12.07 states/eV/cell
Volume ... 18.50 Å³/atom

=====

Li2CdW: optimized geometry, GGA-PBE.

Unit cell a=4.0639 b=4.0639 c=8.1298 alpha=90.00 beta=90.00 gamma=90.00
Closest atoms and distances in Å follow each position.
Space group I4/mmm (No. 139)
Symmetry-distinct sites (fractional):
Li 0.0000 0.5000 0.2500 x4  4 Li 2.87, 4 Cd 2.87, 4 W 2.87
Cd 0.0000 0.0000 0.0000 x2  4 W 2.87, 8 Li 2.87
W 0.0000 0.0000 0.5000 x2  4 Cd 2.87, 8 Li 2.87

Values from the calculation:
Calculated formation energy ... 0.747 eV per atom
Density of states at the Fermi level ... 2.44 states/eV/cell
Volume ... 16.78 Å³/atom